1.
Material: H2RuW2
Method: DFT, PBE-GGA
State: optimized geometry

The raw total energy comes out at -8.2311 eV/atom. For the density of states at the Fermi level, the calculation gives 3.2 states/eV per cell.

Unit cell a=2.887 b=2.887 c=12.360 alpha=90.00 beta=90.00 gamma=90.00
Space group I4/mmm (No. 139)
One atom of each set of equivalent atoms:
H 0.000 0.500 0.250
Ru 0.000 0.000 0.000
W 0.000 0.000 0.354

---

2.
Material: Nb6In3Mo
Method: DFT, PBE-GGA
State: optimized geometry

The raw total energy comes out at -7.6762 eV/atom. For the density of states at the Fermi level, the calculation gives 15.8 states/eV per cell. The formation energy comes out at 2.703 eV per formula unit.

Unit cell a=10.124 b=5.386 c=7.484 alpha=90.00 beta=107.57 gamma=90.00
Space group C2/m (No. 12)
One atom of each set of equivalent atoms:
Nb 0.159 0.000 0.429
Nb 0.159 0.246 0.818
In 0.000 0.500 0.500
In 0.100 0.500 0.185
Mo 0.000 0.000 0.000

---

3.
Material: Sr2CdAgO4
Method: DFT, PBE-GGA
State: optimized geometry

The raw total energy comes out at -4.8757 eV/atom. For the density of states at the Fermi level, the calculation gives 0.1 states/eV per cell. The value obtained for the uncorrected formation energy is -1162 kJ/mol of formula units.

Unit cell a=6.129 b=6.129 c=7.160 alpha=90.00 beta=90.00 gamma=90.00
Space group I-4 (No. 82)
One atom of each set of equivalent atoms:
Sr 0.000 0.000 0.000
Sr 0.000 0.500 0.250
Cd 0.000 0.500 0.750
Ag 0.000 0.000 0.500
O 0.220 0.255 0.609

---

4.
Material: Ba6Sb2BrCl3
Method: DFT, PBE-GGA
State: optimized geometry

The raw total energy comes out at -3.8769 eV/atom. For the density of states at the Fermi level, the calculation gives 10.2 states/eV per cell. The value obtained for the uncorrected formation energy is -1884 kJ/mol of formula units.

Unit cell a=20.706 b=4.910 c=9.409 alpha=90.00 beta=101.77 gamma=90.00
Space group C2/m (No. 12)
One atom of each set of equivalent atoms:
Ba 0.003 0.000 0.244
Ba 0.168 0.500 0.080
Ba 0.168 0.500 0.582
Sb 0.161 0.000 0.824
Br 0.000 0.500 0.500
Cl 0.000 0.500 0.000
Cl 0.169 0.000 0.337

---

5.
Material: HfScCdTc
Method: DFT, PBE-GGA
State: optimized geometry

The raw total energy comes out at -7.2325 eV/atom. For the density of states at the Fermi level, the calculation gives 2.9 states/eV per cell. The formation energy comes out at -1.364 eV per formula unit.

Unit cell a=3.337 b=3.337 c=7.094 alpha=90.00 beta=90.00 gamma=90.00
Space group P4mm (No. 99)
One atom of each set of equivalent atoms:
Hf 0.000 0.000 0.000
Sc 0.000 0.000 0.571
Cd 0.500 0.500 0.290
Tc 0.500 0.500 0.799

---

6.
Material: Nd2As4Ir3Pd
Method: DFT, PBE-GGA
State: optimized geometry

The raw total energy comes out at -6.7709 eV/atom. For the density of states at the Fermi level, the calculation gives 4.8 states/eV per cell. The formation energy comes out at -7.799 eV per formula unit.

Unit cell a=4.388 b=4.388 c=9.846 alpha=90.00 beta=90.00 gamma=90.00
Space group P-4m2 (No. 115)
One atom of each set of equivalent atoms:
Nd 0.000 0.500 0.246
As 0.000 0.000 0.000
As 0.000 0.500 0.636
As 0.500 0.500 0.000
Ir 0.000 0.500 0.884
Ir 0.500 0.500 0.500
Pd 0.000 0.000 0.500

---

7.
Material: TlCr3Au
Method: DFT, PBE-GGA
State: optimized geometry

The raw total energy comes out at -5.7371 eV/atom. For the density of states at the Fermi level, the calculation gives 8.6 states/eV per cell. The formation energy comes out at 5.828 eV per formula unit.

Unit cell a=5.085 b=5.085 c=5.085 alpha=90.00 beta=90.00 gamma=90.00
Space group Pm-3m (No. 221)
One atom of each set of equivalent atoms:
Tl 0.000 0.000 0.000
Cr 0.000 0.500 0.500
Au 0.500 0.500 0.500

---

8.
Material: SrZrNi
Method: DFT, PBE-GGA
State: optimized geometry

The raw total energy comes out at -4.8672 eV/atom. For the density of states at the Fermi level, the calculation gives 14.5 states/eV per cell. The formation energy comes out at 1.410 eV per formula unit.

Unit cell a=6.743 b=6.743 c=6.743 alpha=90.00 beta=90.00 gamma=90.00
Space group F-43m (No. 216)
One atom of each set of equivalent atoms:
Sr 0.000 0.000 0.000
Zr 0.000 0.000 0.500
Ni 0.250 0.250 0.250